! SnBr, relaxed, DFT PBE; values from VASP
! raw formation energy: 1.4 kcal/mol of atoms
! DOS at the Fermi energy: 2.0 states/eV/f.u.
&SYSTEM
  ibrav = 0, nat = 4, ntyp = 2
/
ATOMIC_SPECIES
Sn 118.71 Sn.upf
Br 79.90 Br.upf
ATOMIC_POSITIONS angstrom
Sn 3.078 -4.731 -0.986
Br 1.167 -2.481 -2.210
Br 0.801 -5.584 0.999
Sn -1.110 -3.335 -0.225
CELL_PARAMETERS angstrom
-4.342 -3.064 1.147
2.488 -0.503 -4.807
3.822 -4.498 2.449

***

! KCoS, relaxed, DFT PBE; values from VASP
! raw formation energy: -12.2 kcal/mol of atoms
! DOS at the Fermi energy: 2.4 states/eV/f.u.
&SYSTEM
  ibrav = 0, nat = 6, ntyp = 3
/
ATOMIC_SPECIES
Co 58.93 Co.upf
S 32.06 S.upf
K 39.10 K.upf
ATOMIC_POSITIONS angstrom
Co 0.000 0.000 0.000
S 0.000 1.896 8.958
Co 1.896 1.896 0.000
K 0.000 1.896 2.948
S 1.896 0.000 1.195
K 1.896 0.000 7.206
CELL_PARAMETERS angstrom
3.792 0.000 0.000
0.000 3.792 0.000
0.000 0.000 10.154

***

! AcThSe2, relaxed, DFT PBE; values from VASP
! raw formation energy: -33.1 kcal/mol of atoms
! DOS at the Fermi energy: 4.1 states/eV/f.u.
&SYSTEM
  ibrav = 0, nat = 4, ntyp = 3
/
ATOMIC_SPECIES
Se 78.96 Se.upf
Ac 227.00 Ac.upf
Th 232.04 Th.upf
ATOMIC_POSITIONS angstrom
Se 2.649 1.529 1.081
Se 7.946 4.588 3.244
Ac 5.297 3.058 2.163
Th 0.000 0.000 0.000
CELL_PARAMETERS angstrom
5.297 0.000 0.000
2.649 4.588 0.000
2.649 1.529 4.325

***

! Pa3MnS6, relaxed, DFT PBE; values from VASP
! raw formation energy: -32.8 kcal/mol of atoms
! DOS at the Fermi energy: 13.1 states/eV/f.u.
&SYSTEM
  ibrav = 0, nat = 20, ntyp = 3
/
ATOMIC_SPECIES
S 32.06 S.upf
Pa 231.04 Pa.upf
Mn 54.94 Mn.upf
ATOMIC_POSITIONS angstrom
S 4.463 4.584 0.082
S 1.278 3.360 7.088
S 1.127 5.525 4.455
Pa 5.616 4.923 2.532
Mn 0.312 1.326 6.517
S 1.127 2.948 2.129
Pa 6.187 5.720 6.919
S 4.463 7.394 2.619
Pa 6.187 0.477 2.187
S 1.125 6.334 0.968
Pa 3.003 2.224 0.251
S 4.311 2.419 2.715
S 4.311 4.996 5.041
S 4.310 1.610 6.202
S 4.333 8.061 -0.946
S 1.148 -0.117 8.116
Pa 3.003 7.468 4.983
Mn 3.497 6.618 0.653
S 1.278 0.550 4.551
Pa 2.431 3.022 4.638
CELL_PARAMETERS angstrom
6.369 0.000 0.000
0.000 8.299 -1.209
0.000 -0.355 8.379

***

! Na2UAg2Te4, relaxed, DFT PBE; values from VASP
! raw formation energy: -13.8 kcal/mol of atoms
! DOS at the Fermi energy: 4.5 states/eV/f.u.
&SYSTEM
  ibrav = 0, nat = 9, ntyp = 4
/
ATOMIC_SPECIES
Na 22.99 Na.upf
Te 127.60 Te.upf
Ag 107.87 Ag.upf
U 238.03 U.upf
ATOMIC_POSITIONS angstrom
Na 1.162 5.415 1.905
Te -2.322 5.396 2.675
Te 0.854 5.581 5.279
Ag -5.227 4.887 2.833
Ag 3.838 2.706 1.785
Na -2.551 2.178 2.712
Te -2.242 2.012 -0.661
U 0.000 0.000 0.000
Te 0.933 2.197 1.943
CELL_PARAMETERS angstrom
-0.706 3.061 -3.122
-7.222 1.808 3.406
6.539 2.723 4.333

***

! Sc8OsAu2, relaxed, DFT PBE; values from VASP
! DFT formation energy: -0.49 eV per atom
! DOS at the Fermi energy: 5.6 states/eV/f.u.
&SYSTEM
  ibrav = 0, nat = 11, ntyp = 3
/
ATOMIC_SPECIES
Os 190.23 Os.upf
Sc 44.96 Sc.upf
Au 196.97 Au.upf
ATOMIC_POSITIONS angstrom
Os -2.163 -0.862 0.601
Sc -0.636 -0.767 6.239
Sc -1.993 1.973 5.281
Sc -4.138 5.711 2.915
Sc -0.305 2.195 2.048
Au 0.772 1.030 4.259
Sc 1.840 -1.543 4.414
Au -3.071 3.138 3.070
Sc -1.663 4.935 1.090
Sc -1.587 -0.478 3.226
Sc -0.711 4.646 4.103
CELL_PARAMETERS angstrom
-4.326 -1.723 1.201
2.484 -2.422 5.473
-0.456 8.313 0.655

***

! LaCdIr2, relaxed, DFT PBE; values from VASP
! DFT formation energy: 0.14 eV per atom
! DOS at the Fermi energy: 7.8 states/eV/f.u.
&SYSTEM
  ibrav = 0, nat = 4, ntyp = 3
/
ATOMIC_SPECIES
Ir 192.22 Ir.upf
Cd 112.41 Cd.upf
La 138.91 La.upf
ATOMIC_POSITIONS angstrom
Ir 0.000 0.000 0.000
Cd 4.859 2.805 1.984
Ir 2.429 1.403 0.992
La 7.288 4.208 2.975
CELL_PARAMETERS angstrom
4.859 0.000 0.000
2.429 4.208 0.000
2.429 1.403 3.967

***

! Li2CoSi, relaxed, DFT PBE; values from VASP
! raw formation energy: -0.4 kcal/mol of atoms
! DOS at the Fermi energy: 2.3 states/eV/f.u.
&SYSTEM
  ibrav = 0, nat = 4, ntyp = 3
/
ATOMIC_SPECIES
Co 58.93 Co.upf
Li 6.94 Li.upf
Si 28.09 Si.upf
ATOMIC_POSITIONS angstrom
Co 0.851 -1.901 -1.753
Li 0.000 0.000 0.000
Li -1.049 -2.063 0.190
Si 0.357 -1.269 2.382
CELL_PARAMETERS angstrom
-1.542 -1.431 4.325
-0.555 -2.695 -3.944
2.256 -1.107 0.438

***

! CsHf2MnMo, relaxed, DFT PBE; values from VASP
! DFT formation energy: 1.59 eV per atom
! DOS at the Fermi energy: 6.1 states/eV/f.u.
&SYSTEM
  ibrav = 0, nat = 5, ntyp = 4
/
ATOMIC_SPECIES
Mo 95.94 Mo.upf
Hf 178.49 Hf.upf
Mn 54.94 Mn.upf
Cs 132.91 Cs.upf
ATOMIC_POSITIONS angstrom
Mo 0.000 0.000 0.000
Hf -0.791 -1.635 1.777
Mn 1.059 -4.531 -0.063
Hf 2.373 -0.874 0.253
Cs -0.522 -2.022 -2.093
CELL_PARAMETERS angstrom
-1.582 -3.269 3.554
-1.044 -4.045 -4.186
4.745 -1.747 0.505

***

! Hf8MoS2, relaxed, DFT PBE; values from VASP
! raw formation energy: -1.9 kcal/mol of atoms
! DOS at the Fermi energy: 8.6 states/eV/f.u.
&SYSTEM
  ibrav = 0, nat = 11, ntyp = 3
/
ATOMIC_SPECIES
S 32.06 S.upf
Hf 178.49 Hf.upf
Mo 95.94 Mo.upf
ATOMIC_POSITIONS angstrom
S -9.736 -1.631 -0.395
Hf -3.288 -0.728 -2.596
Hf -7.373 -1.303 -1.245
Mo 0.000 0.000 0.000
Hf -5.696 1.120 -2.027
S -2.312 -0.409 -0.391
Hf -4.994 -3.148 -1.720
Hf -7.054 1.109 0.934
Hf -4.675 -0.736 0.459
Hf -6.352 -3.159 1.241
Hf -8.759 -1.312 1.810
CELL_PARAMETERS angstrom
-1.463 -0.572 -4.608
-4.568 -5.131 2.227
-6.016 3.663 1.595

***

! CuSb2Cl2, relaxed, DFT PBE; values from VASP
! raw formation energy: -6.4 kcal/mol of atoms
! DOS at the Fermi energy: 1.5 states/eV/f.u.
&SYSTEM
  ibrav = 0, nat = 10, ntyp = 3
/
ATOMIC_SPECIES
Cl 35.45 Cl.upf
Cu 63.55 Cu.upf
Sb 121.76 Sb.upf
ATOMIC_POSITIONS angstrom
Cl 2.212 5.682 2.660
Cl 4.728 1.258 2.660
Cu 3.470 3.470 0.000
Sb 1.063 2.407 0.000
Cl 5.682 4.728 2.660
Sb 2.407 5.877 0.000
Sb 4.533 1.063 0.000
Cl 1.258 2.212 2.660
Sb 5.877 4.533 0.000
Cu 0.000 0.000 0.000
CELL_PARAMETERS angstrom
6.940 0.000 0.000
0.000 6.940 0.000
0.000 0.000 5.319

***

! Tb4SmSe5, relaxed, DFT PBE; values from VASP
! raw formation energy: -41.0 kcal/mol of atoms
! DOS at the Fermi energy: 4.2 states/eV/f.u.
&SYSTEM
  ibrav = 0, nat = 10, ntyp = 3
/
ATOMIC_SPECIES
Se 78.96 Se.upf
Tb 158.93 Tb.upf
Sm 150.36 Sm.upf
ATOMIC_POSITIONS angstrom
Se 8.883 -1.780 7.800
Tb 10.326 -1.728 5.279
Sm 0.000 0.000 0.000
Tb 5.224 -0.874 2.670
Se -1.330 -0.071 2.579
Tb 1.186 -0.492 3.865
Tb 6.288 -1.346 6.474
Se 7.762 -1.299 3.968
Se 2.628 -0.440 1.344
Se 3.749 -0.921 5.176
CELL_PARAMETERS angstrom
-0.982 2.800 2.838
-1.679 -2.941 2.321
14.172 -2.078 3.986